VASP calculation (PBE) on a relaxed structure of Li2In4AgPd.

Unit cell a=8.2376 b=5.2231 c=5.2231 alpha=49.92 beta=90.00 gamma=90.00
With the nearest neighbours (Å) after each atom.
Atoms (fractional coordinates):
Ag: 0.0000 0.2688 0.2688  3 Li 2.81-2.92, 6 In 2.86-2.87
In: 0.3166 0.1435 0.1435  2 Pd 2.79, 1 Ag 2.87, 2 In 2.89-3.02
In: 0.6834 0.1435 0.1435  2 Pd 2.79, 1 Ag 2.87, 2 In 2.89-3.02
In: 0.1963 0.8566 0.8566  1 Pd 2.78, 2 Ag 2.86, 1 In 2.89
In: 0.8037 0.8566 0.8566  1 Pd 2.78, 2 Ag 2.86, 1 In 2.89
Li: 0.5000 0.4367 0.4367  3 Pd 2.77-2.96
Li: 0.0000 0.5658 0.5658  3 Ag 2.81-2.92
Pd: 0.5000 0.7287 0.7287  3 Li 2.77-2.96, 6 In 2.78-2.79

- crystal system = orthorhombic
- electronic total energy (eV per atom) = -3.1191
- V (A^3/atom) = 21.5

---

VASP calculation (PBE) on a relaxed structure of ErBeTc.

Unit cell a=4.3914 b=4.3914 c=4.3914 alpha=60.00 beta=60.00 gamma=60.00
With the nearest neighbours (Å) after each atom.
Atoms (fractional coordinates):
Be: 0.2500 0.2500 0.2500  4 Er 2.69
Er: 0.0000 0.0000 0.0000  4 Tc 2.69, 4 Be 2.69
Tc: 0.7500 0.7500 0.7500  4 Er 2.69

- crystal system = cubic
- electronic total energy (eV per atom) = -4.8891
- V (A^3/atom) = 20.0
- polymorph energy (0 for the lowest one) (meV/atom) = 1005

---

VASP calculation (PBE) on a relaxed structure of TmSiMo.

Unit cell a=4.6429 b=4.6429 c=4.6429 alpha=60.00 beta=60.00 gamma=60.00
With the nearest neighbours (Å) after each atom.
Atoms (fractional coordinates):
Mo: 0.2500 0.2500 0.2500  4 Tm 2.84
Si: 0.7500 0.7500 0.7500  4 Tm 2.84
Tm: 0.0000 0.0000 0.0000  4 Mo 2.84, 4 Si 2.84

- crystal system = cubic
- electronic total energy (eV per atom) = -5.8237
- V (A^3/atom) = 23.6

---

VASP calculation (PBE) on a relaxed structure of ZnCuReTc.

Unit cell a=4.2817 b=4.2817 c=4.2817 alpha=60.00 beta=60.00 gamma=60.00
With the nearest neighbours (Å) after each atom.
Atoms (fractional coordinates):
Cu: 0.7500 0.7500 0.7500  4 Re 2.62, 4 Zn 2.62
Re: 0.5000 0.5000 0.5000  4 Cu 2.62, 4 Tc 2.62
Tc: 0.2500 0.2500 0.2500  4 Zn 2.62, 4 Re 2.62
Zn: 0.0000 0.0000 0.0000  4 Tc 2.62, 4 Cu 2.62

- crystal system = cubic
- electronic total energy (eV per atom) = -6.7219
- V (A^3/atom) = 13.9
- polymorph energy (0 for the lowest one) (meV/atom) = 0

---

VASP calculation (PBE) on a relaxed structure of ScAg2Bi.

Unit cell a=4.9335 b=4.9335 c=4.9335 alpha=60.00 beta=60.00 gamma=60.00
With the nearest neighbours (Å) after each atom.
Atoms (fractional coordinates):
Ag: 0.0000 0.0000 0.0000  4 Ag 3.02, 4 Sc 3.02
Ag: 0.7500 0.7500 0.7500  4 Bi 3.02, 4 Ag 3.02
Bi: 0.5000 0.5000 0.5000  4 Sc 3.02, 4 Ag 3.02
Sc: 0.2500 0.2500 0.2500  4 Bi 3.02, 4 Ag 3.02

- crystal system = cubic
- electronic total energy (eV per atom) = -4.1699
- V (A^3/atom) = 21.2

---

VASP calculation (PBE) on a relaxed structure of PmTm2.

Unit cell a=6.5942 b=6.5942 c=6.5942 alpha=60.00 beta=60.00 gamma=60.00
With the nearest neighbours (Å) after each atom.
Atoms (fractional coordinates):
Pm: 0.0000 0.0000 0.0000  12 Tm 3.87, 4 Pm 4.04
Pm: 0.2500 0.2500 0.2500  12 Tm 3.87, 4 Pm 4.04
Tm: 0.6250 0.6250 0.1250  6 Tm 3.30
Tm: 0.6250 0.1250 0.6250  6 Tm 3.30
Tm: 0.1250 0.6250 0.6250  6 Tm 3.30
Tm: 0.6250 0.6250 0.6250  6 Tm 3.30

- crystal system = cubic
- electronic total energy (eV per atom) = -4.2775
- V (A^3/atom) = 33.8
- polymorph energy (0 for the lowest one) (meV/atom) = 0

---

VASP calculation (PBE) on a relaxed structure of HfCdSi.

Unit cell a=4.4394 b=4.4394 c=4.4394 alpha=60.00 beta=60.00 gamma=60.00
With the nearest neighbours (Å) after each atom.
Atoms (fractional coordinates):
Cd: 0.2500 0.2500 0.2500  4 Si 2.72
Hf: 0.7500 0.7500 0.7500  4 Si 2.72
Si: 0.0000 0.0000 0.0000  4 Hf 2.72, 4 Cd 2.72

- crystal system = cubic
- electronic total energy (eV per atom) = -5.3307
- V (A^3/atom) = 20.6

---

VASP calculation (PBE) on a relaxed structure of DyErTm6.

Unit cell a=7.1051 b=7.1051 c=5.5239 alpha=90.00 beta=90.00 gamma=120.00
With the nearest neighbours (Å) after each atom.
Atoms (fractional coordinates):
Dy: 0.0000 0.0000 0.0000  12 Tm 3.44-3.55
Er: 0.3333 0.6667 0.5000  12 Tm 3.44-3.55
Tm: 0.5004 0.0008 0.0000  8 Tm 3.44-3.56, 2 Er 3.44, 2 Dy 3.55
Tm: 0.5004 0.4996 0.0000  8 Tm 3.44-3.56, 2 Er 3.44, 2 Dy 3.55
Tm: 0.9992 0.4996 0.0000  8 Tm 3.44-3.56, 2 Er 3.44, 2 Dy 3.55
Tm: 0.3341 0.1671 0.5000  8 Tm 3.44-3.56, 2 Dy 3.44, 2 Er 3.55
Tm: 0.8329 0.1671 0.5000  8 Tm 3.44-3.56, 2 Dy 3.44, 2 Er 3.55
Tm: 0.8329 0.6659 0.5000  8 Tm 3.44-3.56, 2 Dy 3.44, 2 Er 3.55

- crystal system = hexagonal
- electronic total energy (eV per atom) = -4.5010
- V (A^3/atom) = 30.2

---

VASP calculation (PBE) on a relaxed structure of TbErPd2.

Unit cell a=5.5647 b=4.5904 c=6.8953 alpha=90.00 beta=90.72 gamma=90.00
With the nearest neighbours (Å) after each atom.
Atoms (fractional coordinates):
Er: 0.1432 0.2500 0.3183  7 Pd 2.89-3.02
Er: 0.8568 0.7500 0.6817  7 Pd 2.89-3.02
Pd: 0.1533 0.7500 0.0459  4 Tb 2.89-3.01, 2 Pd 2.92, 3 Er 2.97-2.99
Pd: 0.6574 0.2500 0.4616  4 Er 2.89-3.02, 2 Pd 2.94, 3 Tb 2.99
Pd: 0.3426 0.7500 0.5384  4 Er 2.89-3.02, 2 Pd 2.94, 3 Tb 2.99
Pd: 0.8467 0.2500 0.9541  4 Tb 2.89-3.01, 2 Pd 2.92, 3 Er 2.97-2.99
Tb: 0.6457 0.7500 0.1831  7 Pd 2.89-3.01
Tb: 0.3543 0.2500 0.8169  7 Pd 2.89-3.01

- crystal system = monoclinic
- electronic total energy (eV per atom) = -5.8221
- V (A^3/atom) = 22.0
- polymorph energy (0 for the lowest one) (meV/atom) = 0

---

VASP calculation (PBE) on a relaxed structure of RbNdSm.

Unit cell a=6.0992 b=6.0992 c=6.0992 alpha=60.00 beta=60.00 gamma=60.00
With the nearest neighbours (Å) after each atom.
Atoms (fractional coordinates):
Nd: 0.2500 0.2500 0.2500  4 Sm 3.73
Rb: 0.7500 0.7500 0.7500  4 Sm 3.73
Sm: 0.0000 0.0000 0.0000  4 Rb 3.73, 4 Nd 3.73

- crystal system = cubic
- electronic total energy (eV per atom) = -2.2876
- V (A^3/atom) = 53.5
- polymorph energy (0 for the lowest one) (meV/atom) = 0

---

VASP calculation (PBE) on a relaxed structure of DyInGa4Ir.

Unit cell a=4.4395 b=4.4395 c=6.8832 alpha=90.00 beta=90.00 gamma=90.00
With the nearest neighbours (Å) after each atom.
Atoms (fractional coordinates):
Dy: 0.0000 0.0000 0.0000  8 Ga 3.06, 4 In 3.14
Ga: 0.5000 0.0000 0.3067  2 Ir 2.59, 1 Ga 2.66
Ga: 0.0000 0.5000 0.3067  2 Ir 2.59, 1 Ga 2.66
Ga: 0.5000 0.0000 0.6933  2 Ir 2.59, 1 Ga 2.66
Ga: 0.0000 0.5000 0.6933  2 Ir 2.59, 1 Ga 2.66
In: 0.5000 0.5000 0.0000  8 Ga 3.06, 4 Dy 3.14
Ir: 0.0000 0.0000 0.5000  8 Ga 2.59

- crystal system = tetragonal
- electronic total energy (eV per atom) = -4.5657
- V (A^3/atom) = 19.4

---

VASP calculation (PBE) on a relaxed structure of LuNiGe2.

Unit cell a=4.6287 b=4.6287 c=4.6287 alpha=60.00 beta=60.00 gamma=60.00
With the nearest neighbours (Å) after each atom.
Atoms (fractional coordinates):
Ge: 0.0000 0.0000 0.0000  4 Ni 2.83, 4 Ge 2.83
Ge: 0.2500 0.2500 0.2500  4 Lu 2.83, 4 Ge 2.83
Lu: 0.5000 0.5000 0.5000  4 Ge 2.83, 4 Ni 2.83
Ni: 0.7500 0.7500 0.7500  4 Ge 2.83, 4 Lu 2.83

- crystal system = cubic
- electronic total energy (eV per atom) = -5.0190
- V (A^3/atom) = 17.5